(1)
An optimized crystal structure of Al2AgSb. Source: OQMD, functional PBE.

Cell lengths 4.890, 4.890, 4.890 Å; angles 60.00, 60.00, 60.00 degrees
Positions (direct):
Ag: 0.250 0.250 0.250
Al: 0.000 0.000 0.000
Al: 0.750 0.750 0.750
Sb: 0.500 0.500 0.500

- symmetry = No. 216
- VASP energy (eV/atom) = -3.38

---

(2)
An optimized crystal structure of Ba2CdTcSe6. Source: OQMD, functional PBE.

Cell lengths 6.386, 7.179, 7.484 Å; angles 69.76, 65.46, 63.76 degrees
Positions (direct):
Ba: 0.745 0.276 0.234
Ba: 0.255 0.724 0.766
Cd: 0.500 0.000 0.000
Se: 0.239 0.351 0.168
Se: 0.196 0.779 0.331
Se: 0.681 0.776 0.337
Se: 0.319 0.224 0.663
Se: 0.804 0.221 0.669
Se: 0.761 0.649 0.832
Tc: 0.000 0.500 0.500

- symmetry = No. 2
- VASP energy (eV/atom) = -4.44

---

(3)
An optimized crystal structure of Y7Pt3. Source: OQMD, functional PBE.

Cell lengths 9.876, 9.876, 6.331 Å; angles 90.00, 90.00, 120.00 degrees
Positions (direct):
Pt: 0.380 0.190 0.327
Pt: 0.810 0.190 0.327
Pt: 0.810 0.620 0.327
Pt: 0.190 0.380 0.827
Pt: 0.190 0.810 0.827
Pt: 0.620 0.810 0.827
Y: 0.333 0.667 0.061
Y: 0.540 0.079 0.063
Y: 0.921 0.460 0.063
Y: 0.540 0.460 0.063
Y: 0.126 0.253 0.252
Y: 0.126 0.874 0.252
Y: 0.747 0.874 0.252
Y: 0.667 0.333 0.561
Y: 0.460 0.540 0.563
Y: 0.079 0.540 0.563
Y: 0.460 0.921 0.563
Y: 0.253 0.126 0.752
Y: 0.874 0.126 0.752
Y: 0.874 0.747 0.752

- symmetry = No. 186
- VASP energy (eV/atom) = -7.17
- E_form (eV/atom) = -0.824

---

(4)
An optimized crystal structure of LaPrCo2Ge4. Source: OQMD, functional PBE.

Cell lengths 4.243, 8.702, 8.702 Å; angles 28.52, 90.00, 90.00 degrees
Positions (direct):
Co: 0.000 0.182 0.182
Co: 0.500 0.818 0.818
Ge: 0.000 0.046 0.046
Ge: 0.500 0.249 0.249
Ge: 0.000 0.750 0.750
Ge: 0.500 0.955 0.955
La: 0.000 0.391 0.391
Pr: 0.500 0.609 0.609

- symmetry = No. 38
- VASP energy (eV/atom) = -5.97

---

(5)
An optimized crystal structure of Hf4BiN3. Source: OQMD, functional PBE.

Cell lengths 3.262, 3.262, 25.086 Å; angles 90.00, 90.00, 120.00 degrees
Positions (direct):
Bi: 0.333 0.667 0.250
Bi: 0.667 0.333 0.750
Hf: 0.333 0.667 0.053
Hf: 0.000 0.000 0.152
Hf: 0.000 0.000 0.348
Hf: 0.333 0.667 0.447
Hf: 0.667 0.333 0.553
Hf: 0.000 0.000 0.652
Hf: 0.000 0.000 0.848
Hf: 0.667 0.333 0.947
N: 0.000 0.000 0.000
N: 0.667 0.333 0.102
N: 0.667 0.333 0.398
N: 0.000 0.000 0.500
N: 0.333 0.667 0.602
N: 0.333 0.667 0.898

- symmetry = No. 194
- VASP energy (eV/atom) = -9.85

---

(6)
An optimized crystal structure of LiFeAgTeS2. Source: OQMD, functional PBE.

Cell lengths 7.189, 7.189, 10.493 Å; angles 90.00, 90.00, 153.49 degrees
Positions (direct):
Ag: 0.107 0.893 0.250
Ag: 0.893 0.107 0.750
Fe: 0.500 0.500 0.000
Fe: 0.500 0.500 0.500
Li: 0.763 0.237 0.250
Li: 0.237 0.763 0.750
S: 0.113 0.887 0.021
S: 0.113 0.887 0.479
S: 0.887 0.113 0.521
S: 0.887 0.113 0.979
Te: 0.424 0.576 0.250
Te: 0.576 0.424 0.750

- symmetry = No. 63
- VASP energy (eV/atom) = -4.31

---

(7)
An optimized crystal structure of KAlZnS3. Source: OQMD, functional PBE.

Cell lengths 7.350, 7.350, 10.010 Å; angles 90.00, 90.00, 151.32 degrees
Positions (direct):
Al: 0.000 0.000 0.000
Al: 0.000 0.000 0.500
K: 0.746 0.254 0.250
K: 0.254 0.746 0.750
S: 0.389 0.611 0.046
S: 0.064 0.936 0.250
S: 0.389 0.611 0.454
S: 0.611 0.389 0.546
S: 0.936 0.064 0.750
S: 0.611 0.389 0.954
Zn: 0.464 0.536 0.250
Zn: 0.536 0.464 0.750

- symmetry = No. 63
- VASP energy (eV/atom) = -4.08

---

(8)
An optimized crystal structure of TbHo2. Source: OQMD, functional PBE.

Cell lengths 6.520, 6.520, 6.520 Å; angles 60.00, 60.00, 60.00 degrees
Positions (direct):
Ho: 0.625 0.625 0.125
Ho: 0.625 0.125 0.625
Ho: 0.125 0.625 0.625
Ho: 0.625 0.625 0.625
Tb: 0.000 0.000 0.000
Tb: 0.250 0.250 0.250

- symmetry = No. 227
- VASP energy (eV/atom) = -4.32
- E_form (eV/atom) = 0.276

---

(9)
An optimized crystal structure of Mo4PbC3. Source: OQMD, functional PBE.

Cell lengths 3.189, 3.189, 24.088 Å; angles 90.00, 90.00, 120.00 degrees
Positions (direct):
C: 0.000 0.000 0.000
C: 0.667 0.333 0.107
C: 0.667 0.333 0.393
C: 0.000 0.000 0.500
C: 0.333 0.667 0.607
C: 0.333 0.667 0.893
Mo: 0.333 0.667 0.054
Mo: 0.000 0.000 0.145
Mo: 0.000 0.000 0.355
Mo: 0.333 0.667 0.446
Mo: 0.667 0.333 0.554
Mo: 0.000 0.000 0.645
Mo: 0.000 0.000 0.855
Mo: 0.667 0.333 0.946
Pb: 0.333 0.667 0.250
Pb: 0.667 0.333 0.750

- symmetry = No. 194
- VASP energy (eV/atom) = -9.17

---

(10)
An optimized crystal structure of RbNdSc. Source: OQMD, functional PBE.

Cell lengths 5.870, 5.870, 5.870 Å; angles 60.00, 60.00, 60.00 degrees
Positions (direct):
Nd: 0.250 0.250 0.250
Rb: 0.750 0.750 0.750
Sc: 0.000 0.000 0.000

- symmetry = No. 216
- VASP energy (eV/atom) = -2.83

---

(11)
An optimized crystal structure of DyErCu2Sn2. Source: OQMD, functional PBE.

Cell lengths 4.520, 4.520, 7.204 Å; angles 90.00, 90.00, 120.00 degrees
Positions (direct):
Cu: 0.333 0.667 0.055
Cu: 0.667 0.333 0.550
Dy: 0.000 0.000 0.734
Er: 0.000 0.000 0.233
Sn: 0.333 0.667 0.462
Sn: 0.667 0.333 0.965

- symmetry = No. 156
- VASP energy (eV/atom) = -4.70